Record 1
## Tb6Bi5Sb (PBE)

Data for an optimized crystal structure of Tb6Bi5Sb.

Lattice parameters (Å, degrees): 7.7549 7.7549 7.7479 99.59 99.59 120.00
Fractional positions:
1 Bi 0.3337 0.6663 0.0000
2 Bi 0.8318 0.1682 0.5000
3 Bi 0.6663 0.3337 0.0000
4 Bi 0.5000 0.5000 0.5000
5 Bi 0.1682 0.8318 0.5000
6 Tb 0.2462 0.2462 0.7510
7 Tb 0.7538 0.7538 0.2490
8 Tb 0.5883 0.9176 0.7526
9 Tb 0.0824 0.4118 0.2474
10 Tb 0.4118 0.0824 0.2474
11 Tb 0.9176 0.5883 0.7526
12 Sb 0.0000 0.0000 0.0000

Calculated values
Energy in eV for the cell shown: -62.39
Raw formation energy in eV/atom: -0.924
Size of the total moment in μB per atom: 0.000


Record 2
## HgAs2RuSe (PBE)

Data for an optimized crystal structure of HgAs2RuSe.

Lattice parameters (Å, degrees): 4.6588 4.6588 5.5144 90.00 90.00 90.00
Fractional positions:
1 As 0.0000 0.5000 0.0000
2 As 0.5000 0.0000 0.0000
3 Ru 0.0000 0.0000 0.0000
4 Se 0.0000 0.0000 0.5000
5 Hg 0.5000 0.5000 0.5000

Calculated values
Excess energy over the best structure of this formula in the dataset in kJ per mole of atoms: 0.0
Energy in eV for the cell shown: -20.46
Raw formation energy in eV/atom: 0.380
Size of the total moment in μB per atom: 0.000